Density functional theory data (PBE-GGA) for a relaxed structure of ScAg2N2.

Results
space-group type = I4/mmm
D(E_F) = 0.48 states/eV/atom
E_tot = -4.910 eV/atom

a = 4.191 Å, b = 4.191 Å, c = 8.197 Å
α = 90.00°, β = 90.00°, γ = 90.00°
Atoms (fractional coordinates):
Sc  0.000  0.000  0.000
Sc  0.500  0.500  0.500
Ag  0.000  0.000  0.339
Ag  0.000  0.000  0.661
Ag  0.500  0.500  0.161
Ag  0.500  0.500  0.839
N  0.000  0.500  0.250
N  0.000  0.500  0.750
N  0.500  0.000  0.250
N  0.500  0.000  0.750

---

Density functional theory data (PBE-GGA) for a relaxed structure of ScAgSeN2.

Results
space-group type = P4/mmm
D(E_F) = 0.54 states/eV/atom
E_tot = -4.762 eV/atom

a = 4.084 Å, b = 4.084 Å, c = 5.108 Å
α = 90.00°, β = 90.00°, γ = 90.00°
Atoms (fractional coordinates):
Sc  0.000  0.000  0.000
Ag  0.500  0.500  0.500
Se  0.500  0.500  0.000
N  0.000  0.500  0.500
N  0.500  0.000  0.500